Compound: NbAlMoO6
Source: Alexandria
Functional: GGA+U
Structure: optimized geometry

Unit cell a=5.0395 b=5.0395 c=9.0477 alpha=90.00 beta=90.00 gamma=120.00
With the nearest neighbours (Å) after each atom.
Space group P-31c (No. 163)
One atom of each set of equivalent atoms:
Nb  0.3333  0.6667  0.2500  6 O 2.01
Al  0.3333  0.6667  0.7500  6 O 1.93
Mo  0.0000  0.0000  0.0000  6 O 2.10
O  0.0135  0.3465  0.6335  1 Al 1.93, 1 Nb 2.01, 1 Mo 2.10

Properties
**Total moment**: 2.000 μB per formula unit
**Final energy**: -7.94 eV per atom